(1)
Material: LiCdSe
Method: DFT, PBE-GGA
State: optimized geometry

Properties
- Energy above the lowest structure with this stoichiometry: 166 meV/atom
- Space group: I4mm (107)
- Uncorrected formation energy: -0.342 eV/atom

```
3
Lattice="-1.584 1.584 6.321 1.584 -1.584 6.321 1.584 1.584 -6.321" Properties=species:S:1:pos:R:3 pbc="T T T"
Li 0.000 0.000 0.000
Cd 0.000 0.000 8.709
Se 0.000 0.000 4.887
```

***

(2)
Material: TiCrTePS
Method: DFT, PBE-GGA
State: optimized geometry

Properties
- Energy above the lowest structure with this stoichiometry: 399 meV/atom
- Space group: Cm (8)
- Uncorrected formation energy: -0.334 eV/atom

```
5
Lattice="6.768 -1.711 0.000 6.768 1.711 0.000 -0.952 0.000 4.114" Properties=species:S:1:pos:R:3 pbc="T T T"
Ti 0.000 0.000 0.000
Cr 1.154 0.000 2.307
Te 9.822 0.000 3.355
P 2.355 0.000 0.484
S 6.369 0.000 2.047
```

***

(3)
Material: LiCo
Method: DFT, PBE-GGA
State: optimized geometry

Properties
- Space group: P4/mmm (123)
- ΔE_f: 0.217 eV per atom

```
2
Lattice="2.383 0.000 0.000 0.000 2.383 0.000 0.000 0.000 4.193" Properties=species:S:1:pos:R:3 pbc="T T T"
Li 0.000 0.000 0.000
Co 1.191 1.191 2.096
```

***

(4)
Material: Pr2Zn15Ni2
Method: DFT, PBE-GGA
State: optimized geometry

Properties
- Space group: R-3m (166)
- ΔE_f: -0.243 eV per atom

```
19
Lattice="4.487 2.591 4.411 -4.487 2.591 4.411 0.000 -5.182 4.411" Properties=species:S:1:pos:R:3 pbc="T T T"
Pr 0.000 0.000 2.182
Pr 0.000 0.000 11.051
Zn -2.244 -1.295 4.411
Zn 0.000 -2.575 4.227
Zn -2.230 1.287 4.227
Zn -1.258 -2.179 6.617
Zn -2.516 0.000 6.617
Zn -2.230 -1.287 9.006
Zn -2.244 1.295 8.822
Zn 1.258 -2.179 6.617
Zn 0.000 2.591 4.411
Zn -1.258 2.179 6.617
Zn 2.230 1.287 4.227
Zn 2.516 0.000 6.617
Zn 1.258 2.179 6.617
Zn 2.230 -1.287 9.006
Zn 0.000 2.575 9.006
Ni 0.000 0.000 5.285
Ni 0.000 0.000 7.949
```